--- w ---
Compound: Cs2InO
Source: the Alexandria database
Functional: GGA-PBE
Structure: optimized geometry

Calculated values
SG: No. 225
Mass density in kg/m³: 4586

a b c (Å): 5.878 5.878 5.878
angles (deg): 60.00 60.00 60.00
Sites, in units of the cell vectors:
In: 0.500 0.500 0.500
Cs: 0.750 0.750 0.750
Cs: 0.250 0.250 0.250
O: 0.000 0.000 0.000

--- x ---
Compound: Cs2InO
Source: the Alexandria database
Functional: GGA-PBE
Structure: optimized geometry

Calculated values
SG: No. 122
Mass density in kg/m³: 3453

a b c (Å): 9.398 9.398 9.398
angles (deg): 93.42 93.42 151.71
Sites, in units of the cell vectors:
O: 0.750 0.250 0.500
O: 0.500 0.500 0.000
Cs: 0.125 0.329 0.704
Cs: 0.671 0.375 0.796
Cs: 0.579 0.875 0.204
Cs: 0.625 0.421 0.296
In: 0.000 0.000 0.000
In: 0.250 0.750 0.500

It is w that is the least stable of them.

--- w ---
Compound: CsIn3O
Source: the Alexandria database
Functional: GGA-PBE
Structure: optimized geometry

Calculated values
SG: No. 221
Mass density in kg/m³: 2662

a b c (Å): 6.751 6.751 6.751
angles (deg): 90.00 90.00 90.00
Sites, in units of the cell vectors:
In: 0.500 0.000 0.000
In: 0.000 0.000 0.500
In: 0.000 0.500 0.000
Cs: 0.000 0.000 0.000
O: 0.500 0.500 0.500

--- x ---
Compound: CsIn3O
Source: the Alexandria database
Functional: GGA-PBE
Structure: optimized geometry

Calculated values
SG: No. 221
Mass density in kg/m³: 5355

a b c (Å): 5.348 5.348 5.348
angles (deg): 90.00 90.00 90.00
Sites, in units of the cell vectors:
Cs: 0.500 0.500 0.500
O: 0.000 0.000 0.000
In: 0.500 0.000 0.000
In: 0.000 0.000 0.500
In: 0.000 0.500 0.000

It is w that is the least stable of them.

--- w ---
Compound: CsInPO2
Source: the Alexandria database
Functional: GGA-PBE
Structure: optimized geometry

Calculated values
SG: No. 123
Mass density in kg/m³: 5068

a b c (Å): 4.423 5.204 4.423
angles (deg): 90.00 90.00 90.00
Sites, in units of the cell vectors:
Cs: 0.500 0.500 0.500
In: 0.000 0.000 0.000
P: 0.000 0.500 0.000
O: 0.500 0.000 0.000
O: 0.000 0.000 0.500

--- x ---
Compound: CsInPO2
Source: the Alexandria database
Functional: GGA-PBE
Structure: optimized geometry

Calculated values
SG: No. 123
Mass density in kg/m³: 4675

a b c (Å): 4.386 4.386 5.738
angles (deg): 90.00 90.00 90.00
Sites, in units of the cell vectors:
In: 0.500 0.500 0.500
Cs: 0.000 0.000 0.000
O: 0.500 0.000 0.000
O: 0.000 0.500 0.000
P: 0.000 0.000 0.500

It is x that is the least stable of them.

--- w ---
Compound: Cs2InOs
Source: the Alexandria database
Functional: GGA-PBE
Structure: optimized geometry

Calculated values
SG: No. 225
Mass density in kg/m³: 6146

a b c (Å): 6.019 6.019 6.019
angles (deg): 60.00 60.00 60.00
Sites, in units of the cell vectors:
Cs: 0.750 0.750 0.750
Cs: 0.250 0.250 0.250
In: 0.000 0.000 0.000
Os: 0.500 0.500 0.500

--- x ---
Compound: Cs2InOs
Source: the Alexandria database
Functional: GGA-PBE
Structure: optimized geometry

Calculated values
SG: No. 227
Mass density in kg/m³: 3605

a b c (Å): 9.060 9.060 9.060
angles (deg): 60.00 60.00 60.00
Sites, in units of the cell vectors:
In: 0.500 0.500 0.500
In: 0.750 0.750 0.750
Cs: 0.125 0.125 0.125
Cs: 0.125 0.125 0.625
Cs: 0.125 0.625 0.125
Cs: 0.625 0.125 0.125
Os: 0.250 0.250 0.250
Os: 0.000 0.000 0.000

It is x that is the least stable of them.

--- w ---
Compound: Cs2InP
Source: the Alexandria database
Functional: GGA-PBE
Structure: optimized geometry

Calculated values
SG: No. 38
Mass density in kg/m³: 3975

a b c (Å): 4.263 5.765 7.566
angles (deg): 112.39 90.00 90.00
Sites, in units of the cell vectors:
P: 0.000 0.692 0.383
Cs: 0.500 0.268 0.535
Cs: 0.000 0.961 0.922
In: 0.500 0.579 0.158

--- x ---
Compound: Cs2InP
Source: the Alexandria database
Functional: GGA-PBE
Structure: optimized geometry

Calculated values
SG: No. 122
Mass density in kg/m³: 3978

a b c (Å): 12.575 12.575 12.575
angles (deg): 155.42 155.42 35.04
Sites, in units of the cell vectors:
Cs: 0.875 0.866 0.491
Cs: 0.375 0.384 0.509
Cs: 0.616 0.125 0.991
Cs: 0.134 0.625 0.009
In: 0.000 0.000 0.000
In: 0.750 0.250 0.500
P: 0.500 0.500 0.000
P: 0.250 0.750 0.500

It is x that is the least stable of them.

--- w ---
Compound: Cs2InP2
Source: the Alexandria database
Functional: GGA-PBE
Structure: optimized geometry

Calculated values
SG: No. 127
Mass density in kg/m³: 4361

a b c (Å): 7.552 7.552 5.909
angles (deg): 90.00 90.00 90.00
Sites, in units of the cell vectors:
P: 0.900 0.600 0.000
P: 0.100 0.400 0.000
P: 0.400 0.900 0.000
P: 0.600 0.100 0.000
In: 0.500 0.500 0.000
In: 0.000 0.000 0.000
Cs: 0.184 0.684 0.500
Cs: 0.816 0.316 0.500
Cs: 0.684 0.816 0.500
Cs: 0.316 0.184 0.500

--- x ---
Compound: Cs2InP2
Source: the Alexandria database
Functional: GGA-PBE
Structure: optimized geometry

Calculated values
SG: No. 72
Mass density in kg/m³: 3801

a b c (Å): 6.888 8.899 8.899
angles (deg): 51.75 67.23 67.23
Sites, in units of the cell vectors:
Cs: 0.649 0.690 0.013
Cs: 0.149 0.013 0.690
Cs: 0.351 0.310 0.987
Cs: 0.851 0.987 0.310
In: 0.750 0.500 0.500
In: 0.250 0.500 0.500
P: 0.596 0.224 0.583
P: 0.904 0.417 0.776
P: 0.096 0.583 0.224
P: 0.404 0.776 0.417

It is w that is the least stable of them.

--- w ---
Compound: CsIn2P2
Source: the Alexandria database
Functional: GGA-PBE
Structure: optimized geometry

Calculated values
SG: No. 127
Mass density in kg/m³: 4247

a b c (Å): 9.297 9.297 3.840
angles (deg): 90.00 90.00 90.00
Sites, in units of the cell vectors:
In: 0.644 0.856 0.500
In: 0.356 0.144 0.500
In: 0.856 0.356 0.500
In: 0.144 0.644 0.500
Cs: 0.000 0.000 0.000
Cs: 0.500 0.500 0.000
P: 0.083 0.417 0.000
P: 0.417 0.917 0.000
P: 0.917 0.583 0.000
P: 0.583 0.083 0.000

--- x ---
Compound: CsIn2P2
Source: the Alexandria database
Functional: GGA-PBE
Structure: optimized geometry

Calculated values
SG: No. 139
Mass density in kg/m³: 4441

a b c (Å): 4.696 4.696 7.928
angles (deg): 72.77 72.77 90.00
Sites, in units of the cell vectors:
Cs: 0.000 0.000 0.000
P: 0.654 0.654 0.691
P: 0.346 0.346 0.309
In: 0.250 0.750 0.500
In: 0.750 0.250 0.500

It is w that is the least stable of them.

--- w ---
Compound: CsIn2Pb4
Source: the Alexandria database
Functional: GGA-PBE
Structure: optimized geometry

Calculated values
SG: No. 65
Mass density in kg/m³: 7874

a b c (Å): 5.436 5.418 8.950
angles (deg): 107.62 90.00 90.00
Sites, in units of the cell vectors:
Pb: 0.500 0.188 0.376
Pb: 0.500 0.812 0.624
Pb: 0.000 0.692 0.384
Pb: 0.000 0.308 0.616
In: 0.500 0.589 0.178
In: 0.500 0.411 0.822
Cs: 0.000 0.000 0.000

--- x ---
Compound: CsIn2Pb4
Source: the Alexandria database
Functional: GGA-PBE
Structure: optimized geometry

Calculated values
SG: No. 12
Mass density in kg/m³: 8252

a b c (Å): 6.372 6.984 6.984
angles (deg): 68.85 62.38 62.39
Sites, in units of the cell vectors:
Pb: 0.319 0.973 0.388
Pb: 0.681 0.612 0.027
Pb: 0.319 0.388 0.973
Pb: 0.681 0.027 0.612
In: 0.238 0.501 0.501
In: 0.762 0.499 0.499
Cs: 0.000 0.000 0.000

It is x that is the least stable of them.

--- w ---
Compound: CsIn3Pb2
Source: the Alexandria database
Functional: GGA-PBE
Structure: optimized geometry

Calculated values
SG: No. 12
Mass density in kg/m³: 6714

a b c (Å): 5.173 10.563 9.238
angles (deg): 114.83 90.00 104.17
Sites, in units of the cell vectors:
In: 0.412 0.825 0.359
In: 0.955 0.909 0.600
In: 0.588 0.175 0.641
In: 0.045 0.091 0.400
In: 0.312 0.623 0.543
In: 0.688 0.377 0.457
Cs: 0.858 0.716 0.939
Cs: 0.142 0.284 0.061
Pb: 0.801 0.603 0.306
Pb: 0.199 0.397 0.694
Pb: 0.479 0.959 0.801
Pb: 0.521 0.041 0.199

--- x ---
Compound: CsIn3Pb2
Source: the Alexandria database
Functional: GGA-PBE
Structure: optimized geometry

Calculated values
SG: No. 12
Mass density in kg/m³: 6908

a b c (Å): 5.163 8.876 10.236
angles (deg): 77.23 75.39 73.09
Sites, in units of the cell vectors:
In: 0.741 0.116 0.403
In: 0.567 0.524 0.342
In: 0.064 0.290 0.582
In: 0.936 0.710 0.418
In: 0.433 0.476 0.658
In: 0.259 0.884 0.597
Pb: 0.197 0.342 0.265
Pb: 0.803 0.658 0.735
Pb: 0.392 0.934 0.281
Pb: 0.608 0.066 0.719
Cs: 0.117 0.753 0.013
Cs: 0.883 0.247 0.987

It is w that is the least stable of them.

--- w ---
Compound: Cs2In2Pb
Source: the Alexandria database
Functional: GGA-PBE
Structure: optimized geometry

Calculated values
SG: No. 63
Mass density in kg/m³: 4788

a b c (Å): 7.592 7.592 8.872
angles (deg): 90.00 90.00 107.59
Sites, in units of the cell vectors:
Cs: 0.195 0.805 0.000
Cs: 0.805 0.195 0.500
Cs: 0.805 0.195 0.000
Cs: 0.195 0.805 0.500
In: 0.354 0.354 0.407
In: 0.354 0.354 0.093
In: 0.646 0.646 0.907
In: 0.646 0.646 0.593
Pb: 0.691 0.691 0.250
Pb: 0.309 0.309 0.750

--- x ---
Compound: Cs2In2Pb
Source: the Alexandria database
Functional: GGA-PBE
Structure: optimized geometry

Calculated values
SG: No. 15
Mass density in kg/m³: 5066

a b c (Å): 8.605 7.878 8.593
angles (deg): 106.05 90.00 123.10
Sites, in units of the cell vectors:
In: 0.066 0.879 0.067
In: 0.813 0.879 0.567
In: 0.934 0.121 0.933
In: 0.187 0.121 0.433
Cs: 0.266 0.643 0.342
Cs: 0.376 0.643 0.842
Cs: 0.624 0.357 0.158
Cs: 0.734 0.357 0.658
Pb: 0.799 0.000 0.250
Pb: 0.201 0.000 0.750

It is w that is the least stable of them.

--- w ---
Compound: Cs2In2Pb
Source: the Alexandria database
Functional: GGA-PBE
Structure: optimized geometry

Calculated values
SG: No. 139
Mass density in kg/m³: 5448

a b c (Å): 5.039 5.039 9.158
angles (deg): 74.03 74.03 90.00
Sites, in units of the cell vectors:
Cs: 0.250 0.750 0.500
Cs: 0.750 0.250 0.500
In: 0.584 0.584 0.831
In: 0.416 0.416 0.169
Pb: 0.000 0.000 0.000

--- x ---
Compound: Cs2In2Pb
Source: the Alexandria database
Functional: GGA-PBE
Structure: optimized geometry

Calculated values
SG: No. 127
Mass density in kg/m³: 5374

a b c (Å): 8.156 8.156 6.528
angles (deg): 90.00 90.00 90.00
Sites, in units of the cell vectors:
In: 0.630 0.130 0.000
In: 0.130 0.370 0.000
In: 0.870 0.630 0.000
In: 0.370 0.870 0.000
Pb: 0.500 0.500 0.000
Pb: 0.000 0.000 0.000
Cs: 0.682 0.818 0.500
Cs: 0.318 0.182 0.500
Cs: 0.818 0.318 0.500
Cs: 0.182 0.682 0.500

It is w that is the least stable of them.

--- w ---
Compound: Cs2In5Pb3
Source: the Alexandria database
Functional: GGA-PBE
Structure: optimized geometry

Calculated values
SG: No. 72
Mass density in kg/m³: 6746

a b c (Å): 7.542 10.557 10.557
angles (deg): 72.80 69.07 69.07
Sites, in units of the cell vectors:
Cs: 0.124 0.627 0.125
Cs: 0.624 0.125 0.627
Cs: 0.876 0.373 0.875
Cs: 0.376 0.875 0.373
In: 0.750 0.500 0.500
In: 0.370 0.254 0.007
In: 0.998 0.252 0.252
In: 0.250 0.500 0.500
In: 0.498 0.252 0.252
In: 0.870 0.007 0.254
In: 0.502 0.748 0.748
In: 0.630 0.746 0.993
In: 0.130 0.993 0.746
In: 0.002 0.748 0.748
Pb: 0.375 0.493 0.757
Pb: 0.750 0.000 0.000
Pb: 0.125 0.243 0.507
Pb: 0.625 0.507 0.243
Pb: 0.250 0.000 0.000
Pb: 0.875 0.757 0.493

--- x ---
Compound: Cs2In5Pb3
Source: the Alexandria database
Functional: GGA-PBE
Structure: optimized geometry

Calculated values
SG: No. 115
Mass density in kg/m³: 6683

a b c (Å): 5.388 5.388 12.509
angles (deg): 90.00 90.00 90.00
Sites, in units of the cell vectors:
Cs: 0.500 0.000 0.249
Cs: 0.000 0.500 0.751
Pb: 0.000 0.000 0.500
Pb: 0.000 0.500 0.364
Pb: 0.500 0.000 0.636
In: 0.000 0.500 0.117
In: 0.500 0.500 0.500
In: 0.500 0.000 0.883
In: 0.000 0.000 0.000
In: 0.500 0.500 0.000

It is x that is the least stable of them.